Model 1:
Entry from the Alexandria database: an optimized crystal structure of CuAsRu (PBE).

The structure in CIF format:
```
data_CuAsRu
_cell_length_a 3.1048
_cell_length_b 3.1048
_cell_length_c 8.7038
_cell_angle_alpha 90.00
_cell_angle_beta 90.00
_cell_angle_gamma 90.00
_space_group_name_H-M_alt 'I 4 m m'
_space_group_IT_number 107
_space_group_name_Hall 'I 4 -2'
loop_
_atom_site_label
_atom_site_fract_x
_atom_site_fract_y
_atom_site_fract_z
_atom_site_occupancy
Cu1 0.0000 0.0000 0.0000 1
As1 0.0000 0.0000 0.3325 1
Ru1 0.0000 0.0000 0.6856 1
```

Output
size of the total moment = 0.00 μB/cell
density of states at the Fermi level = 0.84 states/eV per cell
crystal system = tetragonal

Model 2:
Entry from the Alexandria database: an optimized crystal structure of CuAsRu (PBE).

The structure in CIF format:
```
data_CuAsRu
_cell_length_a 5.7004
_cell_length_b 5.7004
_cell_length_c 5.7004
_cell_angle_alpha 90.00
_cell_angle_beta 90.00
_cell_angle_gamma 90.00
_space_group_name_H-M_alt 'F -4 3 m'
_space_group_IT_number 216
_space_group_name_Hall 'F -4 2 3'
loop_
_atom_site_label
_atom_site_fract_x
_atom_site_fract_y
_atom_site_fract_z
_atom_site_occupancy
Cu1 0.0000 0.0000 0.0000 1
As1 0.2500 0.2500 0.2500 1
Ru1 0.0000 0.0000 0.5000 1
```

Output
size of the total moment = 0.00 μB/cell
density of states at the Fermi level = 3.73 states/eV per cell
crystal system = cubic

Energies relative to the most stable structure are model 1 0.000; model 2 0.032, reported in eV/atom.

Model 1:
Entry from the Alexandria database: an optimized crystal structure of CuAsSe2S (PBE).

The structure in CIF format:
```
data_CuAsSe2S
_cell_length_a 4.8385
_cell_length_b 4.8385
_cell_length_c 4.8246
_cell_angle_alpha 90.00
_cell_angle_beta 90.00
_cell_angle_gamma 90.00
_space_group_name_H-M_alt 'P 4/m m m'
_space_group_IT_number 123
_space_group_name_Hall '-P 4 2'
loop_
_atom_site_label
_atom_site_fract_x
_atom_site_fract_y
_atom_site_fract_z
_atom_site_occupancy
Cu1 0.0000 0.0000 0.0000 1
As1 0.5000 0.5000 0.0000 1
Se1 0.0000 0.5000 0.5000 1
S1 0.5000 0.5000 0.5000 1
```

Output
size of the total moment = 0.90 μB/cell
density of states at the Fermi level = 3.95 states/eV per cell
crystal system = tetragonal

Model 2:
Entry from the Alexandria database: an optimized crystal structure of CuAsSe2S (PBE).

The structure in CIF format:
```
data_CuAsSe2S
_cell_length_a 4.7038
_cell_length_b 4.7038
_cell_length_c 4.7697
_cell_angle_alpha 90.00
_cell_angle_beta 90.00
_cell_angle_gamma 90.00
_space_group_name_H-M_alt 'P 4/m m m'
_space_group_IT_number 123
_space_group_name_Hall '-P 4 2'
loop_
_atom_site_label
_atom_site_fract_x
_atom_site_fract_y
_atom_site_fract_z
_atom_site_occupancy
Cu1 0.0000 0.0000 0.0000 1
As1 0.0000 0.0000 0.5000 1
Se1 0.0000 0.5000 0.0000 1
S1 0.5000 0.5000 0.5000 1
```

Output
size of the total moment = 0.00 μB/cell
density of states at the Fermi level = 5.62 states/eV per cell
crystal system = tetragonal

Energies relative to the most stable structure are model 1 0.076; model 2 0.000, reported in eV/atom.

Model 1:
Entry from the Alexandria database: an optimized crystal structure of CuAs2SeS (PBE).

The structure in CIF format:
```
data_CuAs2SeS
_cell_length_a 4.8087
_cell_length_b 4.8087
_cell_length_c 4.7927
_cell_angle_alpha 90.00
_cell_angle_beta 90.00
_cell_angle_gamma 90.00
_space_group_name_H-M_alt 'P 4/m m m'
_space_group_IT_number 123
_space_group_name_Hall '-P 4 2'
loop_
_atom_site_label
_atom_site_fract_x
_atom_site_fract_y
_atom_site_fract_z
_atom_site_occupancy
Cu1 0.0000 0.0000 0.0000 1
As1 0.0000 0.5000 0.5000 1
Se1 0.5000 0.5000 0.0000 1
S1 0.5000 0.5000 0.5000 1
```

Output
size of the total moment = 0.00 μB/cell
density of states at the Fermi level = 5.41 states/eV per cell
crystal system = tetragonal

Model 2:
Entry from the Alexandria database: an optimized crystal structure of CuAs2SeS (PBE).

The structure in CIF format:
```
data_CuAs2SeS
_cell_length_a 4.7523
_cell_length_b 4.7523
_cell_length_c 4.6289
_cell_angle_alpha 90.00
_cell_angle_beta 90.00
_cell_angle_gamma 90.00
_space_group_name_H-M_alt 'P 4/m m m'
_space_group_IT_number 123
_space_group_name_Hall '-P 4 2'
loop_
_atom_site_label
_atom_site_fract_x
_atom_site_fract_y
_atom_site_fract_z
_atom_site_occupancy
Cu1 0.0000 0.0000 0.0000 1
As1 0.0000 0.5000 0.0000 1
Se1 0.0000 0.0000 0.5000 1
S1 0.5000 0.5000 0.5000 1
```

Output
size of the total moment = 0.00 μB/cell
density of states at the Fermi level = 5.19 states/eV per cell
crystal system = tetragonal

Model 3:
Entry from the Alexandria database: an optimized crystal structure of CuAs2SeS (PBE).

The structure in CIF format:
```
data_CuAs2SeS
_cell_length_a 4.8973
_cell_length_b 4.8973
_cell_length_c 4.2479
_cell_angle_alpha 90.00
_cell_angle_beta 90.00
_cell_angle_gamma 90.00
_space_group_name_H-M_alt 'P 4/m m m'
_space_group_IT_number 123
_space_group_name_Hall '-P 4 2'
loop_
_atom_site_label
_atom_site_fract_x
_atom_site_fract_y
_atom_site_fract_z
_atom_site_occupancy
Cu1 0.0000 0.0000 0.0000 1
As1 0.0000 0.5000 0.0000 1
Se1 0.5000 0.5000 0.5000 1
S1 0.0000 0.0000 0.5000 1
```

Output
size of the total moment = 0.00 μB/cell
density of states at the Fermi level = 5.02 states/eV per cell
crystal system = tetragonal

Energies relative to the most stable structure are model 1 0.292; model 2 0.164; model 3 0.000, reported in eV/atom.